Record 1
Below is crystalline LiNdNiTe3 at its relaxed geometry, with properties calculated at the GGA-PBE level.

Results
Magnetic moment (Bohr magnetons per cell): 0.00
ρ (g cm⁻³): 6.0
Calculated total energy (eV per atom): -4.40
Crystal system: orthorhombic

a b c (Å): 7.547 7.547 11.028
angles (deg): 90.00 90.00 148.34
Fractional coordinates of all 12 atoms:
Te  0.645  0.355  0.403
Te  0.902  0.098  0.250
Te  0.355  0.645  0.597
Te  0.355  0.645  0.903
Te  0.098  0.902  0.750
Te  0.645  0.355  0.097
Ni  0.489  0.511  0.750
Ni  0.511  0.489  0.250
Li  0.766  0.234  0.750
Li  0.234  0.766  0.250
Nd  0.000  0.000  0.000
Nd  0.000  0.000  0.500



Record 2
Below is crystalline LiNdO3 at its relaxed geometry, with properties calculated at the GGA-PBE level.

Results
Magnetic moment (Bohr magnetons per cell): 2.00
ρ (g cm⁻³): 3.9
Calculated total energy (eV per atom): -5.97
Crystal system: tetragonal

a b c (Å): 4.230 4.230 4.706
angles (deg): 90.00 90.00 90.00
Fractional coordinates of all 5 atoms:
O  0.500  0.500  0.060
O  0.500  0.000  0.727
O  0.000  0.500  0.727
Li  0.000  0.000  0.826
Nd  0.500  0.500  0.560



Record 3
Below is crystalline LiNd2O4 at its relaxed geometry, with properties calculated at the GGA-PBE level.

Results
Magnetic moment (Bohr magnetons per cell): 2.00
ρ (g cm⁻³): 5.0
Calculated total energy (eV per atom): -6.93
Crystal system: cubic

a b c (Å): 6.965 6.965 6.965
angles (deg): 119.99 90.02 119.99
Fractional coordinates of all 14 atoms:
O  0.614  0.229  0.386
O  0.136  0.729  0.864
O  0.136  0.271  0.864
O  0.136  0.271  0.407
O  0.614  0.229  0.843
O  0.614  0.771  0.386
O  0.593  0.729  0.864
O  0.157  0.771  0.386
Nd  0.375  0.250  0.625
Nd  0.375  0.750  0.625
Nd  0.875  0.250  0.625
Nd  0.375  0.750  0.125
Li  0.750  0.500  0.250
Li  0.000  0.000  0.000



Record 4
Below is crystalline Li2Nd2O5 at its relaxed geometry, with properties calculated at the GGA-PBE level.

Results
Magnetic moment (Bohr magnetons per cell): 2.00
ρ (g cm⁻³): 6.3
Offset from the most stable computed form (meV/atom): 0
Calculated total energy (eV per atom): -6.45
Crystal system: tetragonal

a b c (Å): 7.145 3.763 3.763
angles (deg): 90.00 90.00 90.00
Fractional coordinates of all 9 atoms:
O  0.784  0.500  0.000
O  0.216  0.500  0.000
O  0.216  0.000  0.500
O  0.784  0.000  0.500
O  0.500  0.500  0.500
Li  0.249  0.500  0.500
Li  0.751  0.500  0.500
Nd  0.000  0.000  0.000
Nd  0.500  0.000  0.000



Record 5
Below is crystalline LiNdO3 at its relaxed geometry, with properties calculated at the GGA-PBE level.

Results
Magnetic moment (Bohr magnetons per cell): 1.99
ρ (g cm⁻³): 6.4
Calculated total energy (eV per atom): -6.18
Crystal system: tetragonal

a b c (Å): 3.710 3.710 3.745
angles (deg): 90.00 90.00 90.00
Fractional coordinates of all 5 atoms:
Li  0.500  0.500  0.581
O  0.500  0.500  0.080
O  0.500  0.000  0.580
O  0.000  0.500  0.580
Nd  0.000  0.000  0.079



Record 6
Below is crystalline LiNdO3 at its relaxed geometry, with properties calculated at the GGA-PBE level.

Results
Magnetic moment (Bohr magnetons per cell): 0.95
ρ (g cm⁻³): 5.8
Calculated total energy (eV per atom): -6.08
Crystal system: trigonal

a b c (Å): 4.873 4.873 6.196
angles (deg): 66.85 66.85 60.00
Fractional coordinates of all 10 atoms:
O  0.406  0.405  0.269
O  0.920  0.406  0.269
O  0.595  0.080  0.731
O  0.405  0.920  0.269
O  0.594  0.595  0.731
O  0.080  0.594  0.731
Li  0.662  0.662  0.014
Li  0.338  0.338  0.986
Nd  0.118  0.118  0.646
Nd  0.882  0.882  0.354